Pr8HoSn6 GGA-PBE relaxed; formation energy = -565 meV/atom; spin magnetization = 0.0000 μB per atom; ρ = 6.54 Mg/m³
1.0
9.402 0.000 0.000
4.701 8.142 0.000
4.701 2.714 6.647
Pr Ho Sn
8 1 6
Cartesian
7.804 2.743 2.054 Pr
10.928 2.702 4.592 Pr
6.278 5.470 4.592 Pr
9.402 5.428 0.016 Pr
9.402 5.428 6.631 Pr
12.527 5.387 2.054 Pr
7.876 8.155 2.054 Pr
11.001 8.113 4.592 Pr
0.000 0.000 0.000 Ho
7.767 2.721 5.306 Sn
10.930 2.659 1.341 Sn
6.240 5.490 1.341 Sn
12.565 5.366 5.306 Sn
7.875 8.198 5.306 Sn
11.037 8.136 1.341 Sn


PrHo2Sn GGA-PBE relaxed; formation energy = -412 meV/atom; spin magnetization = 0.0015 μB per atom; ρ = 8.51 Mg/m³
1.0
-0.430 -4.667 -1.165
-0.786 -1.098 4.690
-4.797 0.607 -0.661
Pr Ho Sn
1 2 1
Cartesian
-3.007 -2.579 1.432 Pr
-2.399 0.304 -0.331 Ho
-0.393 -0.549 2.345 Ho
-0.215 -2.334 -0.582 Sn


PrHo2Sn GGA-PBE relaxed; formation energy = -24 meV/atom; spin magnetization = 0.0000 μB per atom; ρ = 7.84 Mg/m³
1.0
3.482 0.000 0.000
1.741 3.015 0.000
1.741 1.005 11.895
Pr Ho Sn
1 2 1
Cartesian
0.000 0.000 0.000 Pr
1.741 1.005 8.466 Ho
5.223 3.015 3.429 Ho
3.482 2.010 5.947 Sn